## a
# Zr2MnH (GGA-PBE, relaxed)
data_Zr2MnH
_space_group_name_H-M_alt 'I -4 2 d'
_space_group_IT_number 122
_space_group_name_Hall 'I -4 2bw'
_cell_length_a 6.205
_cell_length_b 6.205
_cell_length_c 6.549
_cell_angle_alpha 90.00
_cell_angle_beta 90.00
_cell_angle_gamma 90.00
loop_
_atom_site_label
_atom_site_type_symbol
_atom_site_fract_x
_atom_site_fract_y
_atom_site_fract_z
_atom_site_occupancy
Zr1 Zr 0.176 0.250 0.125 1
Mn1 Mn 0.000 0.000 0.500 1
H1 H 0.000 0.000 0.000 1
# - Crystal system: tetragonal
# - Size of the total moment: 2.0 μB per formula unit
# - N(E_F): 3.07 states/eV/f.u.

---

## b
# Zr2MnH (GGA-PBE, relaxed)
data_Zr2MnH
_space_group_name_H-M_alt 'R -3 m'
_space_group_IT_number 166
_space_group_name_Hall '-R 3 2"'
_cell_length_a 3.2529
_cell_length_b 3.2529
_cell_length_c 19.3867
_cell_angle_alpha 90.00
_cell_angle_beta 90.00
_cell_angle_gamma 120.00
loop_
_atom_site_label
_atom_site_type_symbol
_atom_site_fract_x
_atom_site_fract_y
_atom_site_fract_z
_atom_site_occupancy
Zr1 Zr 0.0000 0.0000 0.2394 1
Mn1 Mn 0.0000 0.0000 0.0000 1
H1 H 0.0000 0.0000 0.5000 1
# - Crystal system: trigonal
# - Size of the total moment: 0.2 μB per formula unit
# - N(E_F): 3.18 states/eV/f.u.

---

Which of them is most stable? Easy: b.

---

## a
# ZrMn3H (GGA-PBE, relaxed)
data_ZrMn3H
_space_group_name_H-M_alt 'P m -3 m'
_space_group_IT_number 221
_space_group_name_Hall '-P 4 2 3'
_cell_length_a 4.926
_cell_length_b 4.926
_cell_length_c 4.926
_cell_angle_alpha 90.00
_cell_angle_beta 90.00
_cell_angle_gamma 90.00
loop_
_atom_site_label
_atom_site_type_symbol
_atom_site_fract_x
_atom_site_fract_y
_atom_site_fract_z
_atom_site_occupancy
Zr1 Zr 0.000 0.000 0.000 1
Mn1 Mn 0.000 0.000 0.500 1
H1 H 0.500 0.500 0.500 1
# - Crystal system: cubic
# - Size of the total moment: 10.1 μB per formula unit
# - N(E_F): 5.18 states/eV/f.u.

---

## b
# ZrMn3H (GGA-PBE, relaxed)
data_ZrMn3H
_space_group_name_H-M_alt 'P m -3 m'
_space_group_IT_number 221
_space_group_name_Hall '-P 4 2 3'
_cell_length_a 3.962
_cell_length_b 3.962
_cell_length_c 3.962
_cell_angle_alpha 90.00
_cell_angle_beta 90.00
_cell_angle_gamma 90.00
loop_
_atom_site_label
_atom_site_type_symbol
_atom_site_fract_x
_atom_site_fract_y
_atom_site_fract_z
_atom_site_occupancy
Zr1 Zr 0.000 0.000 0.000 1
Mn1 Mn 0.000 0.500 0.500 1
H1 H 0.500 0.500 0.500 1
# - Crystal system: cubic
# - Size of the total moment: 7.8 μB per formula unit
# - N(E_F): 4.90 states/eV/f.u.

---

Which of them is most stable? Easy: b.

---

## a
# Zr2MnH2 (GGA-PBE, relaxed)
data_Zr2MnH2
_space_group_name_H-M_alt 'P 4/m b m'
_space_group_IT_number 127
_space_group_name_Hall '-P 4 2ab'
_cell_length_a 6.734
_cell_length_b 6.734
_cell_length_c 2.843
_cell_angle_alpha 90.00
_cell_angle_beta 90.00
_cell_angle_gamma 90.00
loop_
_atom_site_label
_atom_site_type_symbol
_atom_site_fract_x
_atom_site_fract_y
_atom_site_fract_z
_atom_site_occupancy
Zr1 Zr 0.162 0.338 0.000 1
Mn1 Mn 0.000 0.000 0.000 1
H1 H 0.116 0.616 0.500 1
# - Crystal system: tetragonal
# - Size of the total moment: 1.5 μB per formula unit
# - N(E_F): 3.68 states/eV/f.u.

---

## b
# Zr2MnH2 (GGA-PBE, relaxed)
data_Zr2MnH2
_space_group_name_H-M_alt 'I 4/m m m'
_space_group_IT_number 139
_space_group_name_Hall '-I 4 2'
_cell_length_a 3.212
_cell_length_b 3.212
_cell_length_c 11.818
_cell_angle_alpha 90.00
_cell_angle_beta 90.00
_cell_angle_gamma 90.00
loop_
_atom_site_label
_atom_site_type_symbol
_atom_site_fract_x
_atom_site_fract_y
_atom_site_fract_z
_atom_site_occupancy
Zr1 Zr 0.000 0.000 0.133 1
Mn1 Mn 0.000 0.000 0.500 1
H1 H 0.000 0.500 0.250 1
# - Crystal system: tetragonal
# - Size of the total moment: 0.0 μB per formula unit
# - N(E_F): 2.31 states/eV/f.u.

---

Which of them is most stable? Easy: b.

---

## a
# Mo3H (GGA-PBE, relaxed)
data_Mo3H
_space_group_name_H-M_alt 'I m m 2'
_space_group_IT_number 44
_cell_length_a 2.597
_cell_length_b 8.314
_cell_length_c 4.732
_cell_angle_alpha 90.00
_cell_angle_beta 90.00
_cell_angle_gamma 90.00
loop_
_space_group_symop_operation_xyz
'x,y,z'
'-x,-y,z'
'-x,y,z'
'x,-y,z'
'x+1/2,y+1/2,z+1/2'
'-x+1/2,-y+1/2,z+1/2'
'-x+1/2,y+1/2,z+1/2'
'x+1/2,-y+1/2,z+1/2'
loop_
_atom_site_label
_atom_site_type_symbol
_atom_site_fract_x
_atom_site_fract_y
_atom_site_fract_z
_atom_site_occupancy
Mo1 Mo 0.000 0.000 0.000 1
Mo2 Mo 0.000 0.180 0.515 1
H1 H 0.000 0.500 0.832 1
# - Crystal system: orthorhombic
# - Size of the total moment: 0.0 μB per formula unit
# - N(E_F): 3.13 states/eV/f.u.

---

## b
# Mo3H (GGA-PBE, relaxed)
data_Mo3H
_space_group_name_H-M_alt 'I 4/m m m'
_space_group_IT_number 139
_space_group_name_Hall '-I 4 2'
_cell_length_a 3.548
_cell_length_b 3.548
_cell_length_c 8.781
_cell_angle_alpha 90.00
_cell_angle_beta 90.00
_cell_angle_gamma 90.00
loop_
_atom_site_label
_atom_site_type_symbol
_atom_site_fract_x
_atom_site_fract_y
_atom_site_fract_z
_atom_site_occupancy
Mo1 Mo 0.000 0.000 0.000 1
Mo2 Mo 0.000 0.500 0.250 1
H1 H 0.000 0.000 0.500 1
# - Crystal system: tetragonal
# - Size of the total moment: 0.0 μB per formula unit
# - N(E_F): 2.86 states/eV/f.u.

---

## c
# Mo3H (GGA-PBE, relaxed)
data_Mo3H
_space_group_name_H-M_alt 'P m m 2'
_space_group_IT_number 25
_cell_length_a 2.613
_cell_length_b 2.636
_cell_length_c 7.591
_cell_angle_alpha 90.00
_cell_angle_beta 90.00
_cell_angle_gamma 90.00
loop_
_space_group_symop_operation_xyz
'x,y,z'
'-x,-y,z'
'-x,y,z'
'x,-y,z'
loop_
_atom_site_label
_atom_site_type_symbol
_atom_site_fract_x
_atom_site_fract_y
_atom_site_fract_z
_atom_site_occupancy
Mo1 Mo 0.000 0.000 0.000 1
Mo2 Mo 0.000 0.500 0.332 1
Mo3 Mo 0.500 0.500 0.688 1
H1 H 0.500 0.000 0.483 1
# - Crystal system: orthorhombic
# - Size of the total moment: 0.0 μB per formula unit
# - N(E_F): 3.22 states/eV/f.u.

---

Which of them is most stable? Easy: a.

---

## a
# MoH (GGA-PBE, relaxed)
data_MoH
_space_group_name_H-M_alt 'P 42/m n m'
_space_group_IT_number 136
_space_group_name_Hall '-P 4n 2n'
_cell_length_a 4.870
_cell_length_b 4.870
_cell_length_c 3.226
_cell_angle_alpha 90.00
_cell_angle_beta 90.00
_cell_angle_gamma 90.00
loop_
_atom_site_label
_atom_site_type_symbol
_atom_site_fract_x
_atom_site_fract_y
_atom_site_fract_z
_atom_site_occupancy
Mo1 Mo 0.212 0.212 0.000 1
H1 H 0.163 0.837 0.000 1
# - Crystal system: tetragonal
# - Size of the total moment: 0.0 μB per formula unit
# - N(E_F): 0.83 states/eV/f.u.

---

## b
# MoH (GGA-PBE, relaxed)
data_MoH
_space_group_name_H-M_alt 'P 21 21 21'
_space_group_IT_number 19
_cell_length_a 4.845
_cell_length_b 5.125
_cell_length_c 5.899
_cell_angle_alpha 90.00
_cell_angle_beta 90.00
_cell_angle_gamma 90.00
loop_
_space_group_symop_operation_xyz
'x,y,z'
'-x+1/2,-y,z+1/2'
'x+1/2,-y+1/2,-z'
'-x,y+1/2,-z+1/2'
loop_
_atom_site_label
_atom_site_type_symbol
_atom_site_fract_x
_atom_site_fract_y
_atom_site_fract_z
_atom_site_occupancy
Mo1 Mo 0.007 0.184 0.383 1
Mo2 Mo 0.015 0.162 0.867 1
H1 H 0.138 0.355 0.121 1
H2 H 0.241 0.016 0.621 1
# - Crystal system: orthorhombic
# - Size of the total moment: 0.0 μB per formula unit
# - N(E_F): 1.17 states/eV/f.u.

---

Which of them is most stable? Easy: b.

---

## a
# MoH (GGA-PBE, relaxed)
data_MoH
_space_group_name_H-M_alt 'I 4/m'
_space_group_IT_number 87
_space_group_name_Hall '-I 4'
_cell_length_a 7.872
_cell_length_b 7.872
_cell_length_c 2.959
_cell_angle_alpha 90.00
_cell_angle_beta 90.00
_cell_angle_gamma 90.00
loop_
_atom_site_label
_atom_site_type_symbol
_atom_site_fract_x
_atom_site_fract_y
_atom_site_fract_z
_atom_site_occupancy
Mo1 Mo 0.134 0.342 0.000 1
H1 H 0.088 0.779 0.000 1
# - Crystal system: tetragonal
# - Size of the total moment: 0.0 μB per formula unit
# - N(E_F): 0.87 states/eV/f.u.

---

## b
# MoH (GGA-PBE, relaxed)
data_MoH
_space_group_name_H-M_alt 'P 63 m c'
_space_group_IT_number 186
_space_group_name_Hall 'P 6c -2c'
_cell_length_a 2.9935
_cell_length_b 2.9935
_cell_length_c 4.9203
_cell_angle_alpha 90.00
_cell_angle_beta 90.00
_cell_angle_gamma 120.00
loop_
_atom_site_label
_atom_site_type_symbol
_atom_site_fract_x
_atom_site_fract_y
_atom_site_fract_z
_atom_site_occupancy
Mo1 Mo 0.3333 0.6667 0.0000 1
H1 H 0.3333 0.6667 0.6313 1
# - Crystal system: hexagonal
# - Size of the total moment: 0.0 μB per formula unit
# - N(E_F): 1.01 states/eV/f.u.

---

## c
# MoH (GGA-PBE, relaxed)
data_MoH
_space_group_name_H-M_alt 'I m m 2'
_space_group_IT_number 44
_cell_length_a 2.935
_cell_length_b 8.873
_cell_length_c 4.184
_cell_angle_alpha 90.00
_cell_angle_beta 90.00
_cell_angle_gamma 90.00
loop_
_space_group_symop_operation_xyz
'x,y,z'
'-x,-y,z'
'-x,y,z'
'x,-y,z'
'x+1/2,y+1/2,z+1/2'
'-x+1/2,-y+1/2,z+1/2'
'-x+1/2,y+1/2,z+1/2'
'x+1/2,-y+1/2,z+1/2'
loop_
_atom_site_label
_atom_site_type_symbol
_atom_site_fract_x
_atom_site_fract_y
_atom_site_fract_z
_atom_site_occupancy
Mo1 Mo 0.000 0.000 0.000 1
Mo2 Mo 0.000 0.330 0.038 1
H1 H 0.000 0.322 0.514 1
H2 H 0.000 0.500 0.788 1
# - Crystal system: orthorhombic
# - Size of the total moment: 0.0 μB per formula unit
# - N(E_F): 1.11 states/eV/f.u.

---

Which of them is most stable? Easy: c.

---

## a
# MoH (GGA-PBE, relaxed)
data_MoH
_space_group_name_H-M_alt 'F m -3 m'
_space_group_IT_number 225
_space_group_name_Hall '-F 4 2 3'
_cell_length_a 4.130
_cell_length_b 4.130
_cell_length_c 4.130
_cell_angle_alpha 90.00
_cell_angle_beta 90.00
_cell_angle_gamma 90.00
loop_
_atom_site_label
_atom_site_type_symbol
_atom_site_fract_x
_atom_site_fract_y
_atom_site_fract_z
_atom_site_occupancy
Mo1 Mo 0.000 0.000 0.000 1
H1 H 0.000 0.000 0.500 1
# - Crystal system: cubic
# - Size of the total moment: 0.0 μB per formula unit
# - N(E_F): 0.80 states/eV/f.u.

---

## b
# MoH (GGA-PBE, relaxed)
data_MoH
_space_group_name_H-M_alt 'P 63/m m c'
_space_group_IT_number 194
_space_group_name_Hall '-P 6c 2c'
_cell_length_a 2.9056
_cell_length_b 2.9056
_cell_length_c 5.1932
_cell_angle_alpha 90.00
_cell_angle_beta 90.00
_cell_angle_gamma 120.00
loop_
_atom_site_label
_atom_site_type_symbol
_atom_site_fract_x
_atom_site_fract_y
_atom_site_fract_z
_atom_site_occupancy
Mo1 Mo 0.0000 0.0000 0.0000 1
H1 H 0.3333 0.6667 0.2500 1
# - Crystal system: hexagonal
# - Size of the total moment: 0.0 μB per formula unit
# - N(E_F): 1.88 states/eV/f.u.

---

## c
# MoH (GGA-PBE, relaxed)
data_MoH
_space_group_name_H-M_alt 'P m -3 n'
_space_group_IT_number 223
_space_group_name_Hall '-P 4n 2 3'
_cell_length_a 5.152
_cell_length_b 5.152
_cell_length_c 5.152
_cell_angle_alpha 90.00
_cell_angle_beta 90.00
_cell_angle_gamma 90.00
loop_
_atom_site_label
_atom_site_type_symbol
_atom_site_fract_x
_atom_site_fract_y
_atom_site_fract_z
_atom_site_occupancy
Mo1 Mo 0.000 0.250 0.500 1
H1 H 0.000 0.500 0.250 1
# - Crystal system: cubic
# - Size of the total moment: 0.0 μB per formula unit
# - N(E_F): 0.41 states/eV/f.u.

---

Which of them is most stable? Easy: a.

---

## a
# MoH (GGA-PBE, relaxed)
data_MoH
_space_group_name_H-M_alt 'I -4 3 m'
_space_group_IT_number 217
_space_group_name_Hall 'I -4 2 3'
_cell_length_a 5.550
_cell_length_b 5.550
_cell_length_c 5.550
_cell_angle_alpha 90.00
_cell_angle_beta 90.00
_cell_angle_gamma 90.00
loop_
_atom_site_label
_atom_site_type_symbol
_atom_site_fract_x
_atom_site_fract_y
_atom_site_fract_z
_atom_site_occupancy
Mo1 Mo 0.198 0.198 0.802 1
H1 H 0.123 0.123 0.123 1
# - Crystal system: cubic
# - Size of the total moment: 0.0 μB per formula unit
# - N(E_F): 1.31 states/eV/f.u.

---

## b
# MoH (GGA-PBE, relaxed)
data_MoH
_space_group_name_H-M_alt 'P 63/m'
_space_group_IT_number 176
_space_group_name_Hall '-P 6c'
_cell_length_a 6.8945
_cell_length_b 6.8945
_cell_length_c 3.0964
_cell_angle_alpha 90.00
_cell_angle_beta 90.00
_cell_angle_gamma 120.00
loop_
_atom_site_label
_atom_site_type_symbol
_atom_site_fract_x
_atom_site_fract_y
_atom_site_fract_z
_atom_site_occupancy
Mo1 Mo 0.0304 0.6987 0.2500 1
H1 H 0.1267 0.4864 0.2500 1
# - Crystal system: hexagonal
# - Size of the total moment: 0.0 μB per formula unit
# - N(E_F): 0.94 states/eV/f.u.

---

Which of them is most stable? Easy: b.

---

## a
# Mo2HN (GGA-PBE, relaxed)
data_Mo2HN
_space_group_name_H-M_alt 'F m -3 m'
_space_group_IT_number 225
_space_group_name_Hall '-F 4 2 3'
_cell_length_a 5.396
_cell_length_b 5.396
_cell_length_c 5.396
_cell_angle_alpha 90.00
_cell_angle_beta 90.00
_cell_angle_gamma 90.00
loop_
_atom_site_label
_atom_site_type_symbol
_atom_site_fract_x
_atom_site_fract_y
_atom_site_fract_z
_atom_site_occupancy
Mo1 Mo 0.250 0.250 0.250 1
H1 H 0.000 0.000 0.000 1
N1 N 0.000 0.000 0.500 1
# - Crystal system: cubic
# - Size of the total moment: 0.0 μB per formula unit
# - N(E_F): 1.69 states/eV/f.u.

---

## b
# Mo2HN (GGA-PBE, relaxed)
data_Mo2HN
_space_group_name_H-M_alt 'R -3 m'
_space_group_IT_number 166
_space_group_name_Hall '-R 3 2"'
_cell_length_a 3.0107
_cell_length_b 3.0107
_cell_length_c 17.6191
_cell_angle_alpha 90.00
_cell_angle_beta 90.00
_cell_angle_gamma 120.00
loop_
_atom_site_label
_atom_site_type_symbol
_atom_site_fract_x
_atom_site_fract_y
_atom_site_fract_z
_atom_site_occupancy
Mo1 Mo 0.0000 0.0000 0.0996 1
H1 H 0.0000 0.0000 0.0000 1
N1 N 0.0000 0.0000 0.5000 1
# - Crystal system: trigonal
# - Size of the total moment: 0.0 μB per formula unit
# - N(E_F): 1.85 states/eV/f.u.

---

## c
# Mo2HN (GGA-PBE, relaxed)
data_Mo2HN
_space_group_name_H-M_alt 'I -4 2 d'
_space_group_IT_number 122
_space_group_name_Hall 'I -4 2bw'
_cell_length_a 4.445
_cell_length_b 4.445
_cell_length_c 9.003
_cell_angle_alpha 90.00
_cell_angle_beta 90.00
_cell_angle_gamma 90.00
loop_
_atom_site_label
_atom_site_type_symbol
_atom_site_fract_x
_atom_site_fract_y
_atom_site_fract_z
_atom_site_occupancy
Mo1 Mo 0.230 0.250 0.125 1
H1 H 0.000 0.000 0.000 1
N1 N 0.000 0.000 0.500 1
# - Crystal system: tetragonal
# - Size of the total moment: 0.0 μB per formula unit
# - N(E_F): 2.08 states/eV/f.u.

---

Which of them is most stable? Easy: c.